A geometry-optimized Ta2TiN structure. Source: Alexandria via LeMat-Bulk, functional GGA-PBE.

Geometry as CIF:
```
data_Ta2TiN
_chemical_formula_sum 'Ta4 Ti2 N2'
_symmetry_space_group_name_H-M 'P 1'
_symmetry_Int_Tables_number 1
_cell_length_a 2.957
_cell_length_b 2.957
_cell_length_c 13.155
_cell_angle_alpha 90.00
_cell_angle_beta 90.04
_cell_angle_gamma 90.00
loop_
_symmetry_equiv_pos_as_xyz
'x,y,z'
loop_
_atom_site_label
_atom_site_type_symbol
_atom_site_fract_x
_atom_site_fract_y
_atom_site_fract_z
Ta1 Ta 0.751 0.836 0.747
Ta2 Ta 0.249 0.336 0.253
Ta3 Ta 0.749 0.837 0.082
Ta4 Ta 0.251 0.337 0.918
Ti1 Ti 0.250 0.336 0.575
Ti2 Ti 0.750 0.836 0.425
N1 N 0.250 0.336 0.415
N2 N 0.750 0.836 0.585
```

Properties
size of the total moment = 0.00 μB/f.u.
raw formation energy = -0.7623 eV per atom
SG = P4/nmm, No. 129
ρ = 12.23 Mg/m³

A geometry-optimized KBa3S8 structure. Source: Alexandria via LeMat-Bulk, functional GGA-PBE.

Geometry as CIF:
```
data_KBa3S8
_chemical_formula_sum 'K1 Ba3 S8'
_symmetry_space_group_name_H-M 'P 1'
_symmetry_Int_Tables_number 1
_cell_length_a 7.953
_cell_length_b 7.955
_cell_length_c 7.953
_cell_angle_alpha 64.49
_cell_angle_beta 82.05
_cell_angle_gamma 115.52
loop_
_symmetry_equiv_pos_as_xyz
'x,y,z'
loop_
_atom_site_label
_atom_site_type_symbol
_atom_site_fract_x
_atom_site_fract_y
_atom_site_fract_z
K1 K 0.000 0.000 0.000
Ba1 Ba 0.750 0.500 0.750
Ba2 Ba 0.250 0.500 0.250
Ba3 Ba 0.500 0.000 0.500
S1 S 0.102 0.000 0.401
S2 S 0.401 0.503 0.599
S3 S 0.898 0.497 0.102
S4 S 0.599 0.000 0.898
S5 S 0.897 0.000 0.599
S6 S 0.599 0.496 0.401
S7 S 0.103 0.504 0.897
S8 S 0.401 0.000 0.103
```

Properties
size of the total moment = 0.00 μB/f.u.
raw formation energy = -1.1576 eV per atom
SG = I4/mmm, No. 139
ρ = 3.13 Mg/m³

A geometry-optimized BaOsRh4 structure. Source: Alexandria via LeMat-Bulk, functional GGA-PBE.

Geometry as CIF:
```
data_BaOsRh4
_chemical_formula_sum 'Ba1 Os1 Rh4'
_symmetry_space_group_name_H-M 'P 1'
_symmetry_Int_Tables_number 1
_cell_length_a 5.342
_cell_length_b 5.342
_cell_length_c 5.342
_cell_angle_alpha 60.00
_cell_angle_beta 60.00
_cell_angle_gamma 60.00
loop_
_symmetry_equiv_pos_as_xyz
'x,y,z'
loop_
_atom_site_label
_atom_site_type_symbol
_atom_site_fract_x
_atom_site_fract_y
_atom_site_fract_z
Ba1 Ba 0.750 0.750 0.750
Os1 Os 0.000 0.000 0.000
Rh1 Rh 0.878 0.374 0.374
Rh2 Rh 0.374 0.374 0.878
Rh3 Rh 0.374 0.878 0.374
Rh4 Rh 0.374 0.374 0.374
```

Properties
energy of formation = 62.37 kJ per mole of atoms
size of the total moment = 2.72 μB/f.u.
SG = F-43m, No. 216
ρ = 11.39 Mg/m³

A geometry-optimized Te2Cl structure. Source: Alexandria via LeMat-Bulk, functional GGA-PBE.

Geometry as CIF:
```
data_Te2Cl
_chemical_formula_sum 'Te4 Cl2'
_symmetry_space_group_name_H-M 'P 1'
_symmetry_Int_Tables_number 1
_cell_length_a 8.677
_cell_length_b 8.677
_cell_length_c 8.690
_cell_angle_alpha 49.53
_cell_angle_beta 49.53
_cell_angle_gamma 26.78
loop_
_symmetry_equiv_pos_as_xyz
'x,y,z'
loop_
_atom_site_label
_atom_site_type_symbol
_atom_site_fract_x
_atom_site_fract_y
_atom_site_fract_z
Cl1 Cl 0.990 0.990 0.940
Cl2 Cl 0.622 0.622 0.338
Te1 Te 0.381 0.381 0.243
Te2 Te 0.753 0.753 0.559
Te3 Te 0.858 0.858 0.719
Te4 Te 0.230 0.230 0.035
```

Properties
size of the total moment = 0.00 μB/f.u.
raw formation energy = -0.2274 eV per atom
SG = C2/m, No. 12
ρ = 4.40 Mg/m³
E above lowest polymorph = 18 meV/atom

A geometry-optimized Hf5Pa3H12 structure. Source: Alexandria via LeMat-Bulk, functional GGA-PBE.

Geometry as CIF:
```
data_Hf5Pa3H12
_chemical_formula_sum 'Hf20 Pa12 H48'
_symmetry_space_group_name_H-M 'P 1'
_symmetry_Int_Tables_number 1
_cell_length_a 10.628
_cell_length_b 10.628
_cell_length_c 10.628
_cell_angle_alpha 109.47
_cell_angle_beta 109.47
_cell_angle_gamma 109.47
loop_
_symmetry_equiv_pos_as_xyz
'x,y,z'
loop_
_atom_site_label
_atom_site_type_symbol
_atom_site_fract_x
_atom_site_fract_y
_atom_site_fract_z
Pa1 Pa 0.750 0.375 0.125
Pa2 Pa 0.875 0.750 0.125
Pa3 Pa 0.375 0.750 0.625
Pa4 Pa 0.250 0.125 0.375
Pa5 Pa 0.875 0.125 0.250
Pa6 Pa 0.375 0.625 0.250
Pa7 Pa 0.625 0.375 0.750
Pa8 Pa 0.125 0.875 0.750
Pa9 Pa 0.750 0.875 0.625
Pa10 Pa 0.625 0.250 0.375
Pa11 Pa 0.125 0.250 0.875
Pa12 Pa 0.250 0.625 0.875
Hf1 Hf 0.125 0.375 0.250
Hf2 Hf 0.000 0.500 0.000
Hf3 Hf 0.000 0.000 0.000
Hf4 Hf 0.375 0.250 0.125
Hf5 Hf 0.500 0.000 0.500
Hf6 Hf 0.500 0.500 0.000
Hf7 Hf 0.125 0.750 0.375
Hf8 Hf 0.750 0.125 0.875
Hf9 Hf 0.750 0.625 0.375
Hf10 Hf 0.375 0.125 0.750
Hf11 Hf 0.625 0.875 0.250
Hf12 Hf 0.500 0.500 0.500
Hf13 Hf 0.500 0.000 0.000
Hf14 Hf 0.000 0.000 0.500
Hf15 Hf 0.250 0.375 0.625
Hf16 Hf 0.250 0.875 0.125
Hf17 Hf 0.000 0.500 0.500
Hf18 Hf 0.875 0.250 0.625
Hf19 Hf 0.625 0.750 0.875
Hf20 Hf 0.875 0.625 0.750
H1 H 0.718 0.138 0.057
H2 H 0.339 0.557 0.418
H3 H 0.943 0.362 0.282
H4 H 0.557 0.218 0.138
H5 H 0.580 0.718 0.661
H6 H 0.943 0.582 0.161
H7 H 0.339 0.782 0.420
H8 H 0.082 0.920 0.138
H9 H 0.582 0.943 0.661
H10 H 0.718 0.580 0.161
H11 H 0.782 0.443 0.362
H12 H 0.839 0.918 0.057
H13 H 0.138 0.718 0.557
H14 H 0.362 0.418 0.080
H15 H 0.080 0.918 0.362
H16 H 0.420 0.138 0.582
H17 H 0.080 0.161 0.218
H18 H 0.443 0.661 0.082
H19 H 0.839 0.920 0.282
H20 H 0.138 0.420 0.082
H21 H 0.362 0.943 0.782
H22 H 0.582 0.638 0.420
H23 H 0.918 0.839 0.557
H24 H 0.782 0.339 0.920
H25 H 0.418 0.362 0.580
H26 H 0.082 0.161 0.443
H27 H 0.218 0.661 0.080
H28 H 0.161 0.080 0.718
H29 H 0.638 0.057 0.218
H30 H 0.862 0.580 0.918
H31 H 0.557 0.339 0.918
H32 H 0.580 0.862 0.418
H33 H 0.920 0.839 0.782
H34 H 0.920 0.082 0.638
H35 H 0.862 0.282 0.443
H36 H 0.161 0.082 0.943
H37 H 0.638 0.582 0.920
H38 H 0.418 0.057 0.339
H39 H 0.282 0.420 0.839
H40 H 0.218 0.557 0.638
H41 H 0.918 0.080 0.862
H42 H 0.661 0.218 0.580
H43 H 0.443 0.782 0.862
H44 H 0.057 0.418 0.839
H45 H 0.420 0.282 0.339
H46 H 0.057 0.638 0.718
H47 H 0.661 0.443 0.582
H48 H 0.282 0.862 0.943
```

Properties
size of the total moment = 1.46 μB/f.u.
VASP energy = -6.236 eV per atom
SG = Ia-3d, No. 230
ρ = 11.48 Mg/m³

A geometry-optimized RbGePW2 structure. Source: Alexandria via LeMat-Bulk, functional GGA-PBE.

Geometry as CIF:
```
data_RbGePW2
_chemical_formula_sum 'Rb1 Ge1 P1 W2'
_symmetry_space_group_name_H-M 'P 1'
_symmetry_Int_Tables_number 1
_cell_length_a 4.925
_cell_length_b 5.000
_cell_length_c 4.925
_cell_angle_alpha 90.00
_cell_angle_beta 90.00
_cell_angle_gamma 90.00
loop_
_symmetry_equiv_pos_as_xyz
'x,y,z'
loop_
_atom_site_label
_atom_site_type_symbol
_atom_site_fract_x
_atom_site_fract_y
_atom_site_fract_z
P1 P 0.000 0.500 0.000
Ge1 Ge 0.500 0.500 0.500
Rb1 Rb 0.000 0.000 0.000
W1 W 0.000 0.000 0.500
W2 W 0.500 0.000 0.000
```

Properties
energy of formation = 356.82 kJ per mole of atoms
size of the total moment = 2.89 μB/f.u.
SG = P4/mmm, No. 123
ρ = 7.62 Mg/m³

A geometry-optimized ScBi2Pd structure. Source: Alexandria via LeMat-Bulk, functional GGA-PBE.

Geometry as CIF:
```
data_ScBi2Pd
_chemical_formula_sum 'Sc1 Bi2 Pd1'
_symmetry_space_group_name_H-M 'P 1'
_symmetry_Int_Tables_number 1
_cell_length_a 3.462
_cell_length_b 3.462
_cell_length_c 10.337
_cell_angle_alpha 80.36
_cell_angle_beta 80.36
_cell_angle_gamma 60.00
loop_
_symmetry_equiv_pos_as_xyz
'x,y,z'
loop_
_atom_site_label
_atom_site_type_symbol
_atom_site_fract_x
_atom_site_fract_y
_atom_site_fract_z
Sc1 Sc 0.000 0.000 0.000
Bi1 Bi 0.098 0.098 0.705
Bi2 Bi 0.902 0.902 0.295
Pd1 Pd 0.500 0.500 0.500
```

Properties
energy of formation = -0.97 kJ per mole of atoms
size of the total moment = 0.00 μB/f.u.
SG = R-3m, No. 166
ρ = 8.98 Mg/m³

A geometry-optimized V4Zn5 structure. Source: Alexandria via LeMat-Bulk, functional GGA-PBE.

Geometry as CIF:
```
data_V4Zn5
_chemical_formula_sum 'V4 Zn5'
_symmetry_space_group_name_H-M 'P 1'
_symmetry_Int_Tables_number 1
_cell_length_a 6.501
_cell_length_b 6.501
_cell_length_c 6.501
_cell_angle_alpha 93.43
_cell_angle_beta 93.43
_cell_angle_gamma 151.70
loop_
_symmetry_equiv_pos_as_xyz
'x,y,z'
loop_
_atom_site_label
_atom_site_type_symbol
_atom_site_fract_x
_atom_site_fract_y
_atom_site_fract_z
V1 V 0.000 0.344 0.344
V2 V 0.000 0.656 0.656
V3 V 0.656 0.000 0.656
V4 V 0.344 0.000 0.344
Zn1 Zn 0.000 0.000 0.000
Zn2 Zn 0.330 0.330 0.661
Zn3 Zn 0.670 0.670 0.339
Zn4 Zn 0.670 0.330 0.000
Zn5 Zn 0.330 0.670 0.000
```

Properties
energy of formation = -4.31 kJ per mole of atoms
size of the total moment = 0.00 μB/f.u.
SG = I4/mmm, No. 139
ρ = 6.98 Mg/m³

Q: Which value of size of the total moment does entry 1 give?
A: 0.00 μB/f.u.

Copy entry 8 word for word.
A geometry-optimized V4Zn5 structure. Source: Alexandria via LeMat-Bulk, functional GGA-PBE.

Geometry as CIF:
```
data_V4Zn5
_chemical_formula_sum 'V4 Zn5'
_symmetry_space_group_name_H-M 'P 1'
_symmetry_Int_Tables_number 1
_cell_length_a 6.501
_cell_length_b 6.501
_cell_length_c 6.501
_cell_angle_alpha 93.43
_cell_angle_beta 93.43
_cell_angle_gamma 151.70
loop_
_symmetry_equiv_pos_as_xyz
'x,y,z'
loop_
_atom_site_label
_atom_site_type_symbol
_atom_site_fract_x
_atom_site_fract_y
_atom_site_fract_z
V1 V 0.000 0.344 0.344
V2 V 0.000 0.656 0.656
V3 V 0.656 0.000 0.656
V4 V 0.344 0.000 0.344
Zn1 Zn 0.000 0.000 0.000
Zn2 Zn 0.330 0.330 0.661
Zn3 Zn 0.670 0.670 0.339
Zn4 Zn 0.670 0.330 0.000
Zn5 Zn 0.330 0.670 0.000
```

Properties
energy of formation = -4.31 kJ per mole of atoms
size of the total moment = 0.00 μB/f.u.
SG = I4/mmm, No. 139
ρ = 6.98 Mg/m³